1 | VASP calculation (PBE with a Hubbard U) on a relaxed MnVP2H2O10 crystal.

Computed properties:
Total magnetic moment, μB/cell: 3.98

Cell lengths 5.1859, 5.2479, 7.2445 Å; angles 105.91, 108.13, 100.66 degrees
Space group P-1 (No. 2)
Asymmetric unit:
Mn (0.0000, 0.0000, 0.0000) (multiplicity 1)
V (0.0000, 0.0000, 0.5000) (multiplicity 1)
P (0.3255, 0.6727, 0.7712) (multiplicity 2)
H (0.3396, 0.9847, 0.3138) (multiplicity 2)
O (0.1095, 0.6859, 0.8768) (multiplicity 2)
O (0.1293, 0.9497, 0.2676) (multiplicity 2)
O (0.2518, 0.3668, 0.6290) (multiplicity 2)
O (0.3112, 0.8608, 0.6365) (multiplicity 2)
O (0.3684, 0.2408, 0.0675) (multiplicity 2)

2 | VASP calculation (PBE with a Hubbard U) on a relaxed MnVP2H2O10 crystal.

Computed properties:
Total magnetic moment, μB/cell: 4.21

Cell lengths 5.1091, 5.1665, 7.7313 Å; angles 92.07, 91.52, 119.50 degrees
Space group P-1 (No. 2)
Asymmetric unit:
Mn (0.0000, 0.0000, 0.0000) (multiplicity 1)
V (0.0000, 0.5000, 0.5000) (multiplicity 1)
P (0.3912, 0.5177, 0.2593) (multiplicity 2)
H (0.4594, 0.7883, 0.1817) (multiplicity 2)
O (0.0309, 0.0844, 0.7471) (multiplicity 2)
O (0.0664, 0.6111, 0.9494) (multiplicity 2)
O (0.2475, 0.3507, 0.6638) (multiplicity 2)
O (0.3760, 0.2926, 0.1131) (multiplicity 2)
O (0.4121, 0.8710, 0.5433) (multiplicity 2)

Bottom line: 1, by a margin of 122.9 kJ/mol of atoms.

1 | VASP calculation (PBE with a Hubbard U) on a relaxed MnV2P2H8O14 crystal.

Computed properties:
Total magnetic moment, μB/cell: 7.00

Cell lengths 6.8575, 6.8632, 7.2107 Å; angles 87.84, 88.06, 86.34 degrees
Space group P-1 (No. 2)
Asymmetric unit:
Mn (0.0000, 0.0000, 0.0000) (multiplicity 1)
V (0.1460, 0.7130, 0.6959) (multiplicity 2)
P (0.0597, 0.7012, 0.2411) (multiplicity 2)
H (0.2031, 0.4145, 0.1729) (multiplicity 2)
H (0.2147, 0.1612, 0.2885) (multiplicity 2)
H (0.4517, 0.9037, 0.6963) (multiplicity 2)
H (0.4532, 0.4445, 0.3146) (multiplicity 2)
O (0.0884, 0.7725, 0.4435) (multiplicity 2)
O (0.1168, 0.4421, 0.7467) (multiplicity 2)
O (0.1188, 0.2140, 0.1976) (multiplicity 2)
O (0.2409, 0.8858, 0.8274) (multiplicity 2)
O (0.2513, 0.5516, 0.1966) (multiplicity 2)
O (0.4518, 0.6453, 0.6133) (multiplicity 2)
O (0.4576, 0.1673, 0.3956) (multiplicity 2)

2 | VASP calculation (PBE with a Hubbard U) on a relaxed MnV2P2H8O14 crystal.

Computed properties:
Total magnetic moment, μB/cell: 14.00

Cell lengths 6.3565, 6.3565, 13.6770 Å; angles 90.00, 90.00, 90.00 degrees
Space group I4/m (No. 87)
Asymmetric unit:
Mn (0.0000, 0.0000, 0.0000) (multiplicity 2)
V (0.0000, 0.0000, 0.2776) (multiplicity 4)
P (0.0000, 0.5000, 0.2500) (multiplicity 4)
H (0.1213, 0.6778, 0.4411) (multiplicity 16)
O (0.0000, 0.0000, 0.1573) (multiplicity 4)
O (0.0158, 0.6957, 0.3177) (multiplicity 16)
O (0.1879, 0.2893, 0.0000) (multiplicity 8)

Bottom line: 2, by a margin of 40.6 kJ/mol of atoms.